{
  "formula": "Ni2HO3",
  "functional": "GGA+U",
  "state": "relaxed",
  "cell": [[3.900, 0.000, 0.000], [0.000, 6.030, 0.001], [-1.950, -1.509, 4.669]],
  "species": ["Ni", "Ni", "Ni", "Ni", "H", "H", "O", "O", "O", "O", "O", "O"],
  "frac_coords": [[0.664, 0.582, 0.327], [0.663, 0.082, 0.327], [0.337, 0.918, 0.673], [0.336, 0.418, 0.673], [0.808, 0.750, 0.000], [0.192, 0.250, 0.000], [0.444, 0.250, 0.000], [0.556, 0.750, 0.000], [0.192, 0.097, 0.386], [0.806, 0.403, 0.614], [0.194, 0.597, 0.386], [0.808, 0.903, 0.614]],
  "e_tot_ev_per_atom": -4.78,
  "sg": "No. 15",
  "mass_density_g_cm3": 5.0
}